Here is a relaxed structure of HgGe2Te from the Alexandria database. Energies are from PBE.

Cell: 6.3106 6.3106 12.6345 Å, 90.00 90.00 90.00°
Space group I-42d (No. 122)
Inequivalent atoms, fractional coordinates:
Hg 0.0000 0.0000 0.0000 [4 per cell]
Ge 0.2302 0.2500 0.1250 [8 per cell]
Te 0.0000 0.0000 0.5000 [4 per cell]

Calculated values
density of states at the Fermi level = 1.5 states/eV per cell
E_form (uncorrected) = 0.2169 eV/atom
energy above the most stable polymorph in this dataset = 0 meV/atom


Here is a relaxed structure of Tb3Pr13 from the Alexandria database. Energies are from PBE.

Cell: 10.4389 10.4093 10.4178 Å, 90.00 90.00 90.00°
Space group Amm2 (No. 38)
Inequivalent atoms, fractional coordinates:
Tb 0.0000 0.0000 0.0000 [2 per cell]
Tb 0.2483 0.0000 0.2466 [4 per cell]
Pr 0.0000 0.0000 0.4959 [2 per cell]
Pr 0.0000 0.2478 0.2479 [4 per cell]
Pr 0.2493 0.0000 0.7492 [4 per cell]
Pr 0.2486 0.2490 0.9979 [8 per cell]
Pr 0.5000 0.0000 0.0007 [2 per cell]
Pr 0.5000 0.0000 0.4954 [2 per cell]
Pr 0.5000 0.2478 0.2481 [4 per cell]

Calculated values
density of states at the Fermi level = 50.2 states/eV per cell
formation energy = 12.8 meV per atom


Here is a relaxed structure of Sr2TiCu from the Alexandria database. Energies are from PBE.

Cell: 7.8880 7.8880 7.8880 Å, 90.00 90.00 90.00°
Space group Fm-3m (No. 225)
Inequivalent atoms, fractional coordinates:
Sr 0.2500 0.2500 0.2500 [8 per cell]
Ti 0.0000 0.0000 0.0000 [4 per cell]
Cu 0.0000 0.0000 0.5000 [4 per cell]

Calculated values
density of states at the Fermi level = 46.6 states/eV per cell
formation energy = 615.9 meV per atom
energy above the most stable polymorph in this dataset = 0 meV/atom